No. 1
Here is a relaxed Ba2CoSiTe crystal from the Alexandria database. Energies are from PBE.

Values from the calculation:
Symmetry ... P4/mmm, No. 123
Energy ... -4.499 eV/atom
Uncorrected formation energy ... -596 meV per atom
Fermi-level density of states ... 2.6 states/eV/f.u.

Cell and atoms, written as POSCAR:
```
Ba2CoSiTe
1.0
-4.7762 -2.8640 2.1387
2.9353 -5.1796 -0.3809
1.5043 0.5511 4.0975
Ba Te Co Si
2 1 1 1
direct
0.0000 0.5000 0.0000
0.5000 0.0000 0.0000
0.5000 0.5000 0.5000
0.0000 0.0000 0.0000
0.0000 0.0000 0.5000
```

No. 2
Here is a relaxed CdTeN2 crystal from the Alexandria database. Energies are from PBE.

Values from the calculation:
Symmetry ... I-42d, No. 122
Energy above the most stable polymorph in this dataset ... 0 meV per atom
Energy ... -4.302 eV/atom
Uncorrected formation energy ... 875 meV per atom
Fermi-level density of states ... 0.9 states/eV/f.u.

Cell and atoms, written as POSCAR:
```
CdTeN2
1.0
5.0457 0.0000 0.0000
0.0000 5.0457 0.0000
2.5228 2.5228 5.5296
N Te Cd
4 2 2
direct
0.0994 0.6250 0.2500
0.8750 0.9006 0.7500
0.6506 0.1250 0.2500
0.3750 0.3494 0.7500
0.7500 0.2500 0.5000
0.0000 0.0000 0.0000
0.5000 0.5000 0.0000
0.2500 0.7500 0.5000
```

No. 3
Here is a relaxed CrCuPb2 crystal from the Alexandria database. Energies are from PBE.

Values from the calculation:
DFT formation energy ... 0.626 eV per atom
Symmetry ... F-43m, No. 216
Energy above the most stable polymorph in this dataset ... 272 meV per atom
Energy ... -4.658 eV/atom
Fermi-level density of states ... 2.7 states/eV/f.u.

Cell and atoms, written as POSCAR:
```
CrCuPb2
1.0
5.0731 0.0000 0.0000
2.5365 4.3934 0.0000
2.5365 1.4645 4.1421
Pb Cu Cr
2 1 1
direct
0.2500 0.2500 0.2500
0.0000 0.0000 0.0000
0.7500 0.7500 0.7500
0.5000 0.5000 0.5000
```

No. 4
Here is a relaxed Sb2TeRu crystal from the Alexandria database. Energies are from PBE.

Values from the calculation:
Symmetry ... Imm2, No. 44
Energy ... -5.018 eV/atom
Uncorrected formation energy ... 148 meV per atom
Fermi-level density of states ... 2.8 states/eV/f.u.

Cell and atoms, written as POSCAR:
```
Sb2TeRu
1.0
6.8275 0.0211 0.0043
4.3231 5.2845 -0.0043
-5.1142 -3.6218 2.7097
Te Ru Sb
1 1 2
direct
0.4311 0.4311 0.0000
0.2561 0.7561 0.5000
0.7392 0.2392 0.5000
0.0736 0.0736 0.0000
```

No. 5
Here is a relaxed RuC3F crystal from the Alexandria database. Energies are from PBE.

Values from the calculation:
Symmetry ... Pm-3m, No. 221
Energy above the most stable polymorph in this dataset ... 1297 meV per atom
Energy ... -4.715 eV/atom
Uncorrected formation energy ... 3049 meV per atom
Fermi-level density of states ... 2.8 states/eV/f.u.

Cell and atoms, written as POSCAR:
```
RuC3F
1.0
-2.2297 -2.6313 1.0842
0.5703 -1.7625 -3.1047
2.7881 -1.7437 1.5021
C Ru F
3 1 1
direct
0.0000 0.0000 0.5000
0.0000 0.5000 0.0000
0.5000 0.0000 0.0000
0.5000 0.5000 0.5000
0.0000 0.0000 0.0000
```

No. 6
Here is a relaxed Tl2Ga2H crystal from the Alexandria database. Energies are from PBE.

Values from the calculation:
Symmetry ... P4/mbm, No. 127
Energy above the most stable polymorph in this dataset ... 60 meV per atom
Energy ... -2.484 eV/atom
Fermi-level density of states ... 2.4 states/eV/f.u.

Cell and atoms, written as POSCAR:
```
Tl2Ga2H
1.0
-4.2427 -4.5472 2.2125
4.5027 -4.7116 -1.0489
1.8291 0.6636 4.8714
Ga Tl H
4 4 2
direct
0.1454 0.6454 0.5000
0.6454 0.8546 0.5000
0.8546 0.3546 0.5000
0.3546 0.1454 0.5000
0.6813 0.1813 0.0000
0.1813 0.3187 0.0000
0.3187 0.8187 0.0000
0.8187 0.6813 0.0000
0.5000 0.5000 0.0000
0.0000 0.0000 0.0000
```